[1]
RbCaNpF6 | PBE-GGA | relaxed

Lattice parameters (Å, degrees): 6.3196 6.3196 11.0697 90.00 90.00 120.00
With the nearest neighbours (Å) after each atom.
Space group P-31c (No. 163)
Symmetry-distinct sites (fractional):
Rb1 0.0000 0.0000 0.0000 (multiplicity 2)  6 F 2.88
Ca1 0.3333 0.6667 0.2500 (multiplicity 2)  6 F 2.29
Np1 0.3333 0.6667 0.7500 (multiplicity 2)  6 F 2.31
F1 0.0019 0.3784 0.1450 (multiplicity 12)  1 Ca 2.29, 1 Np 2.31

Summary:
**Energy relative to the elements, uncorrected**: -2968 kJ/mol of formula units
**Final energy**: -115.80 eV/cell
**Theoretical density**: 4.13 g/cm3

[2]
Ca5O2F12 | PBE-GGA | relaxed

Lattice parameters (Å, degrees): 12.5810 5.6433 8.0853 90.00 108.11 90.00
With the nearest neighbours (Å) after each atom.
Space group C2/m (No. 12)
Symmetry-distinct sites (fractional):
Ca1 0.0000 0.0000 0.0000 (multiplicity 2)  6 F 2.18-2.43
Ca2 0.1780 0.5000 0.8410 (multiplicity 4)  3 F 2.16-2.34
Ca3 0.1856 0.5000 0.3383 (multiplicity 4)  7 F 2.20-2.38
O1 0.0000 0.1029 0.5000 (multiplicity 4)  1 O 1.16
F1 0.0024 0.5000 0.2272 (multiplicity 4)  2 Ca 2.16-2.20
F2 0.0780 0.0000 0.7934 (multiplicity 4)  1 Ca 2.18, 2 O 2.34
F3 0.1656 0.2489 0.0961 (multiplicity 8)  4 Ca 2.34-2.55
F4 0.1695 0.2679 0.5755 (multiplicity 8)  1 O 2.23, 3 Ca 2.30-2.49

Summary:
**Energy relative to the elements, uncorrected**: -5518 kJ/mol of formula units
**Final energy**: -199.14 eV/cell
**Theoretical density**: 2.80 g/cm3

[3]
Ca2OF8 | PBE-GGA | relaxed

Lattice parameters (Å, degrees): 8.0530 9.0101 4.5160 90.00 97.38 90.00
With the nearest neighbours (Å) after each atom.
Space group C2/m (No. 12)
Symmetry-distinct sites (fractional):
Ca1 0.0000 0.2065 0.0000 (multiplicity 4)  8 F 2.31-2.46
O1 0.0000 0.5000 0.5000 (multiplicity 2)  2 F 1.67
F1 0.0000 0.3152 0.5000 (multiplicity 4)  1 O 1.67
F2 0.0657 0.0000 0.3247 (multiplicity 4)  1 F 2.01
F3 0.2287 0.3643 0.0582 (multiplicity 8)  1 F 2.16, 2 Ca 2.31-2.32

Summary:
**Energy relative to the elements, uncorrected**: -1996 kJ/mol of formula units
**Final energy**: -89.23 eV/cell
**Theoretical density**: 2.54 g/cm3

[4]
CaO3F12 | PBE-GGA | relaxed

Lattice parameters (Å, degrees): 8.6693 8.6693 26.3756 90.00 90.00 120.00
With the nearest neighbours (Å) after each atom.
Space group R3c (No. 161, hexagonal axes)
Symmetry-distinct sites (fractional):
Ca1 0.0000 0.0000 0.0000 (multiplicity 6)  6 F 2.23-2.32
O1 0.0401 0.4510 0.0289 (multiplicity 18)  2 F 1.41-1.43
F1 0.0467 0.2182 0.4467 (multiplicity 18)  1 Ca 2.23, 1 O 2.30
F2 0.0627 0.2518 0.3091 (multiplicity 18)  1 O 1.43
F3 0.1538 0.4137 0.7140 (multiplicity 18)  1 O 2.10, 1 Ca 2.32
F4 0.1778 0.4322 0.8681 (multiplicity 18)  1 O 1.41

Summary:
**Energy relative to the elements, uncorrected**: -849 kJ/mol of formula units
**Final energy**: -288.77 eV/cell
**Theoretical density**: 1.83 g/cm3